Zn2GaP3H8N2O12 after structural relaxation. Source: the Alexandria database, functional PBEsol.

Cell lengths 11.553, 11.612, 11.650 Å; angles 109.54, 109.44, 109.12 degrees
Space group P1 (No. 1)
Unique sites:
Zn (0.000, 0.000, 0.000) [1 per cell]
Zn (0.018, 0.402, 0.472) [1 per cell]
Zn (0.045, 0.729, 0.219) [1 per cell]
Zn (0.196, 0.624, 0.963) [1 per cell]
Zn (0.400, 0.387, 0.923) [1 per cell]
Zn (0.439, 0.192, 0.232) [1 per cell]
Zn (0.673, 0.700, 0.424) [1 per cell]
Zn (0.738, 0.149, 0.894) [1 per cell]
Ga (0.235, 0.972, 0.662) [1 per cell]
Ga (0.428, 0.655, 0.619) [1 per cell]
Ga (0.689, 0.351, 0.652) [1 per cell]
Ga (0.771, 0.965, 0.275) [1 per cell]
P (0.167, 0.669, 0.473) [1 per cell]
P (0.203, 0.889, 0.117) [1 per cell]
P (0.239, 0.125, 0.925) [1 per cell]
P (0.281, 0.505, 0.729) [1 per cell]
P (0.503, 0.221, 0.765) [1 per cell]
P (0.513, 0.698, 0.161) [1 per cell]
P (0.542, 0.459, 0.491) [1 per cell]
P (0.712, 0.208, 0.403) [1 per cell]
P (0.738, 0.883, 0.736) [1 per cell]
P (0.887, 0.156, 0.160) [1 per cell]
P (0.923, 0.462, 0.957) [1 per cell]
P (0.935, 0.855, 0.418) [1 per cell]
H (0.011, 0.676, 0.640) [1 per cell]
H (0.035, 0.737, 0.808) [1 per cell]
H (0.071, 0.201, 0.767) [1 per cell]
H (0.125, 0.322, 0.159) [1 per cell]
H (0.130, 0.089, 0.347) [1 per cell]
H (0.158, 0.454, 0.117) [1 per cell]
H (0.197, 0.257, 0.482) [1 per cell]
H (0.234, 0.494, 0.288) [1 per cell]
H (0.257, 0.149, 0.513) [1 per cell]
H (0.290, 0.416, 0.183) [1 per cell]
H (0.299, 0.219, 0.416) [1 per cell]
H (0.366, 0.889, 0.358) [1 per cell]
H (0.400, 0.964, 0.926) [1 per cell]
H (0.430, 0.825, 0.901) [1 per cell]
H (0.447, 0.928, 0.057) [1 per cell]
H (0.466, 0.925, 0.528) [1 per cell]
H (0.506, 0.860, 0.398) [1 per cell]
H (0.534, 0.027, 0.465) [1 per cell]
H (0.569, 0.993, 0.008) [1 per cell]
H (0.591, 0.565, 0.844) [1 per cell]
H (0.670, 0.384, 0.089) [1 per cell]
H (0.675, 0.700, 0.008) [1 per cell]
H (0.711, 0.366, 0.236) [1 per cell]
H (0.725, 0.723, 0.890) [1 per cell]
H (0.764, 0.619, 0.954) [1 per cell]
H (0.776, 0.530, 0.254) [1 per cell]
H (0.835, 0.421, 0.192) [1 per cell]
H (0.868, 0.628, 0.664) [1 per cell]
H (0.900, 0.127, 0.734) [1 per cell]
H (0.935, 0.102, 0.600) [1 per cell]
H (0.959, 0.794, 0.703) [1 per cell]
H (0.963, 0.264, 0.702) [1 per cell]
N (0.204, 0.422, 0.187) [1 per cell]
N (0.218, 0.176, 0.438) [1 per cell]
N (0.462, 0.927, 0.974) [1 per cell]
N (0.468, 0.925, 0.439) [1 per cell]
N (0.689, 0.651, 0.923) [1 per cell]
N (0.748, 0.426, 0.193) [1 per cell]
N (0.967, 0.176, 0.701) [1 per cell]
N (0.969, 0.709, 0.703) [1 per cell]
O (0.047, 0.912, 0.571) [1 per cell]
O (0.072, 0.633, 0.325) [1 per cell]
O (0.081, 0.506, 0.011) [1 per cell]
O (0.082, 0.602, 0.533) [1 per cell]
O (0.092, 0.029, 0.893) [1 per cell]
O (0.109, 0.956, 0.124) [1 per cell]
O (0.139, 0.765, 0.967) [1 per cell]
O (0.182, 0.514, 0.788) [1 per cell]
O (0.190, 0.402, 0.568) [1 per cell]
O (0.215, 0.832, 0.222) [1 per cell]
O (0.229, 0.221, 0.860) [1 per cell]
O (0.266, 0.830, 0.578) [1 per cell]
O (0.274, 0.613, 0.464) [1 per cell]
O (0.288, 0.025, 0.847) [1 per cell]
O (0.339, 0.127, 0.657) [1 per cell]
O (0.351, 0.219, 0.080) [1 per cell]
O (0.355, 0.994, 0.163) [1 per cell]
O (0.377, 0.655, 0.753) [1 per cell]
O (0.384, 0.459, 0.795) [1 per cell]
O (0.396, 0.724, 0.091) [1 per cell]
O (0.437, 0.299, 0.401) [1 per cell]
O (0.477, 0.544, 0.103) [1 per cell]
O (0.484, 0.523, 0.582) [1 per cell]
O (0.530, 0.314, 0.911) [1 per cell]
O (0.555, 0.315, 0.705) [1 per cell]
O (0.561, 0.120, 0.762) [1 per cell]
O (0.561, 0.519, 0.398) [1 per cell]
O (0.566, 0.764, 0.321) [1 per cell]
O (0.574, 0.822, 0.677) [1 per cell]
O (0.641, 0.779, 0.142) [1 per cell]
O (0.642, 0.194, 0.497) [1 per cell]
O (0.644, 0.259, 0.308) [1 per cell]
O (0.674, 0.055, 0.311) [1 per cell]
O (0.688, 0.485, 0.599) [1 per cell]
O (0.737, 0.094, 0.036) [1 per cell]
O (0.773, 0.816, 0.624) [1 per cell]
O (0.797, 0.041, 0.783) [1 per cell]
O (0.801, 0.860, 0.860) [1 per cell]
O (0.815, 0.709, 0.365) [1 per cell]
O (0.857, 0.349, 0.989) [1 per cell]
O (0.859, 0.408, 0.795) [1 per cell]
O (0.870, 0.308, 0.504) [1 per cell]
O (0.881, 0.965, 0.433) [1 per cell]
O (0.884, 0.053, 0.219) [1 per cell]
O (0.903, 0.588, 0.024) [1 per cell]
O (0.933, 0.303, 0.271) [1 per cell]
O (0.996, 0.857, 0.321) [1 per cell]
O (0.997, 0.166, 0.111) [1 per cell]

Values from the calculation:
volume	1207.95	Å³/cell
Fermi-level density of states	0.0	states/eV per cell
crystal system	triclinic
energy	-693.44	eV/cell

=====

GaHPb2N after structural relaxation. Source: the Alexandria database, functional PBEsol.

Cell lengths 5.300, 5.300, 3.316 Å; angles 90.00, 90.00, 90.00 degrees
Space group P4/mmm (No. 123)
Unique sites:
Ga (0.000, 0.000, 0.000) [1 per cell]
H (0.000, 0.000, 0.500) [1 per cell]
Pb (0.000, 0.500, 0.000) [2 per cell]
N (0.500, 0.500, 0.500) [1 per cell]

Values from the calculation:
volume	93.16	Å³/cell
Fermi-level density of states	1.9	states/eV per cell
crystal system	tetragonal
energy	-18.23	eV/cell

=====

GaHSe2N after structural relaxation. Source: the Alexandria database, functional PBEsol.

Cell lengths 5.181, 5.181, 3.534 Å; angles 90.00, 90.00, 90.00 degrees
Space group P4/mmm (No. 123)
Unique sites:
Ga (0.000, 0.000, 0.000) [1 per cell]
H (0.500, 0.500, 0.500) [1 per cell]
Se (0.000, 0.500, 0.000) [2 per cell]
N (0.000, 0.000, 0.500) [1 per cell]

Values from the calculation:
volume	94.87	Å³/cell
Fermi-level density of states	4.8	states/eV per cell
crystal system	tetragonal
energy	-16.60	eV/cell

=====

Na5Ga7H12S13O6 after structural relaxation. Source: the Alexandria database, functional PBEsol.

Cell lengths 17.376, 17.376, 17.376 Å; angles 90.00, 90.00, 90.00 degrees
Space group F-43c (No. 219)
Unique sites:
Na (0.000, 0.000, 0.000) [8 per cell]
Na (0.103, 0.103, 0.103) [32 per cell]
Ga (0.000, 0.250, 0.250) [24 per cell]
Ga (0.171, 0.171, 0.329) [32 per cell]
H (0.024, 0.039, 0.330) [96 per cell]
S (0.068, 0.138, 0.259) [96 per cell]
S (0.250, 0.250, 0.250) [8 per cell]
O (0.000, 0.000, 0.135) [48 per cell]

Values from the calculation:
volume	5246.25	Å³/cell
Fermi-level density of states	0.0	states/eV per cell
crystal system	cubic
energy	-1611.48	eV/cell

=====

Na2TlGaH after structural relaxation. Source: the Alexandria database, functional PBEsol.

Cell lengths 5.881, 5.881, 3.776 Å; angles 90.00, 90.00, 90.00 degrees
Space group P4/mmm (No. 123)
Unique sites:
Na (0.000, 0.500, 0.000) [2 per cell]
Tl (0.000, 0.000, 0.000) [1 per cell]
Ga (0.500, 0.500, 0.500) [1 per cell]
H (0.000, 0.000, 0.500) [1 per cell]

Values from the calculation:
volume	130.59	Å³/cell
Fermi-level density of states	1.9	states/eV per cell
crystal system	tetragonal
energy	-10.14	eV/cell

=====

Nb2GaH after structural relaxation. Source: the Alexandria database, functional PBEsol.

Cell lengths 5.260, 5.260, 9.349 Å; angles 90.00, 90.00, 90.00 degrees
Space group I4_1/amd (No. 141, origin choice 2)
Unique sites:
Nb (0.000, 0.000, 0.000) [8 per cell]
Ga (0.000, 0.250, 0.375) [4 per cell]
H (0.000, 0.250, 0.875) [4 per cell]

Values from the calculation:
volume	258.63	Å³/cell
Fermi-level density of states	10.5	states/eV per cell
crystal system	tetragonal
energy	-106.08	eV/cell

=====

Nb2GaH2 after structural relaxation. Source: the Alexandria database, functional PBEsol.

Cell lengths 3.487, 3.487, 9.166 Å; angles 90.00, 90.00, 90.00 degrees
Space group I4/mmm (No. 139)
Unique sites:
Nb (0.000, 0.000, 0.156) [4 per cell]
Ga (0.000, 0.000, 0.500) [2 per cell]
H (0.000, 0.500, 0.250) [4 per cell]

Values from the calculation:
volume	111.44	Å³/cell
Fermi-level density of states	6.2	states/eV per cell
crystal system	tetragonal
energy	-65.60	eV/cell

=====

GaNi3H after structural relaxation. Source: the Alexandria database, functional PBEsol.

Cell lengths 3.576, 3.576, 3.576 Å; angles 90.00, 90.00, 90.00 degrees
Space group Pm-3m (No. 221)
Unique sites:
Ga (0.000, 0.000, 0.000) [1 per cell]
Ni (0.000, 0.500, 0.500) [3 per cell]
H (0.500, 0.500, 0.500) [1 per cell]

Values from the calculation:
volume	45.73	Å³/cell
Fermi-level density of states	2.6	states/eV per cell
crystal system	cubic
energy	-26.97	eV/cell

=====

Question: Fermi-level density of states of number 3 (GaHSe2N)?
Answer: 4.8 states/eV per cell